--- one ---
Entry from the Alexandria database: crystalline LiTlAsBr2 at its relaxed geometry (PBE).

Results
Space group: P1 (1)
Crystal system: triclinic

Cell lengths 4.2900, 4.2876, 8.1789 Å; angles 81.12, 80.93, 87.18 degrees
Closest atoms and distances in Å follow each position.
Fractional positions:
Li1 0.6413 0.8899 0.2552  4 Br 2.54-2.59
Tl1 0.3678 0.1653 0.7553  4 As 2.95-3.11
As1 0.8697 0.6632 0.7549  2 Br 2.72-2.73, 2 Tl 2.95-2.97
Br1 0.6366 0.4479 0.0807  2 Li 2.54-2.59, 1 As 2.73
Br2 0.0826 0.8986 0.4298  2 Li 2.55-2.59, 1 As 2.72


--- two ---
Entry from the Alexandria database: crystalline LiTlAsBr2 at its relaxed geometry (PBE).

Results
Space group: P1 (1)
Crystal system: triclinic

Cell lengths 5.2451, 5.6711, 6.0370 Å; angles 64.00, 64.14, 90.02 degrees
Closest atoms and distances in Å follow each position.
Fractional positions:
Li1 0.3798 0.5042 0.0827  1 Br 2.68, 2 As 2.75
Tl1 0.7931 0.9675 0.2486  2 As 2.83-2.85
As1 0.7964 0.4695 0.2483  2 Br 2.61-2.84, 2 Li 2.75, 2 Tl 2.83-2.85
Br1 0.4954 0.1835 0.8475  1 Li 2.68, 1 As 2.84
Br2 0.0684 0.7442 0.6991  1 As 2.61


--- three ---
Entry from the Alexandria database: crystalline LiTlAsBr2 at its relaxed geometry (PBE).

Results
Space group: P1 (1)
Crystal system: triclinic

Cell lengths 3.6350, 5.4357, 8.7050 Å; angles 72.55, 78.42, 90.07 degrees
Closest atoms and distances in Å follow each position.
Fractional positions:
Li1 0.6878 0.8356 0.3176  3 Br 2.46-2.63, 1 As 2.64
Tl1 0.8612 0.5402 0.9576  2 As 3.22-3.23, 4 Br 3.43-3.58
As1 0.5156 0.7881 0.6353  1 Br 2.46, 1 Li 2.64
Br1 0.2864 0.9483 0.1132  2 Li 2.46
Br2 0.5545 0.3913 0.5541  1 As 2.46, 1 Li 2.63


The calculated energies rank the structures as follows, beginning with the most stable: one, two, three.


--- one ---
Entry from the Alexandria database: crystalline LiTlAsBr2 at its relaxed geometry (PBE).

Results
Space group: P1 (1)
Crystal system: triclinic

Cell lengths 4.4793, 5.9868, 6.3135 Å; angles 81.11, 88.26, 83.16 degrees
Closest atoms and distances in Å follow each position.
Fractional positions:
Li1 0.9980 0.1208 0.9949  3 Br 2.57-2.72, 1 As 2.73
Tl1 0.4749 0.6512 0.6128  2 As 2.86-2.87, 1 Br 3.15
As1 0.9662 0.7904 0.3416  1 Br 2.44, 1 Li 2.73
Br1 0.5141 0.1098 0.7912  2 Li 2.57-2.61
Br2 0.1613 0.5010 0.1249  1 As 2.44, 1 Li 2.72


--- two ---
Entry from the Alexandria database: crystalline LiTlAsBr2 at its relaxed geometry (PBE).

Results
Space group: P1 (1)
Crystal system: triclinic

Cell lengths 5.3947, 5.4532, 5.6413 Å; angles 89.96, 89.80, 65.20 degrees
Closest atoms and distances in Å follow each position.
Fractional positions:
Li1 0.3811 0.8060 0.7390  2 As 2.81-2.88, 3 Br 2.81-2.93
Tl1 0.6264 0.1646 0.2306  2 As 2.86, 1 Br 3.18
As1 0.5482 0.2436 0.7305  1 Br 2.52, 1 Li 2.81
Br1 0.2748 0.8200 0.2287  2 Li 2.81-2.93
Br2 0.0434 0.3678 0.7304  1 As 2.52


--- three ---
Entry from the Alexandria database: crystalline LiTlAsBr2 at its relaxed geometry (PBE).

Results
Space group: P-1 (2)
Crystal system: triclinic

Cell lengths 4.0403, 4.4368, 8.3879 Å; angles 95.65, 99.23, 90.98 degrees
Closest atoms and distances in Å follow each position.
Fractional positions:
Li1 0.5000 0.5000 0.5000  4 Br 2.61-2.77
Tl1 0.5000 0.0000 0.0000  4 As 2.97-3.03
As1 0.0000 0.5000 0.0000  2 Br 2.73, 4 Tl 2.97-3.03
Br1 0.0320 0.3217 0.6822  2 Li 2.61-2.77, 1 As 2.73
Br2 0.9680 0.6783 0.3178  2 Li 2.61-2.77, 1 As 2.73


--- four ---
Entry from the Alexandria database: crystalline LiTlAsBr2 at its relaxed geometry (PBE).

Results
Space group: P1 (1)
Crystal system: triclinic

Cell lengths 3.7047, 5.1960, 8.2581 Å; angles 100.28, 102.83, 90.00 degrees
Closest atoms and distances in Å follow each position.
Fractional positions:
Li1 0.0038 0.6491 0.5916  3 Br 2.43-2.69
Tl1 0.7189 0.2243 0.0146  4 Br 3.30-3.34, 2 As 3.34
As1 0.3919 0.3716 0.3646  1 Br 2.53, 2 Li 2.81
Br1 0.4452 0.9430 0.4727  1 As 2.53, 2 Li 2.69
Br2 0.1606 0.6859 0.8973  1 Li 2.43


The calculated energies rank the structures as follows, beginning with the most stable: three, two, four, one.